1.
Material: Tb2InFe
Method: DFT, PBE
State: relaxed

```
4
Lattice="3.358 0.000 0.000 0.000 3.358 0.000 0.000 0.000 8.161" Properties=species:S:1:pos:R:3 pbc="T T T"
Tb 0.000 0.000 1.628
Tb 0.000 0.000 6.533
In 1.679 1.679 4.081
Fe 1.679 1.679 0.000
```

***

2.
Material: Tb5InFe2
Method: DFT, PBE
State: relaxed

```
16
Lattice="-3.767 3.767 7.121 3.767 -3.767 7.121 3.767 3.767 -7.121" Properties=species:S:1:pos:R:3 pbc="T T T"
Tb 0.000 0.000 0.000
Tb 5.071 1.304 -1.900
Tb 1.304 2.463 -1.900
Tb 5.071 1.304 1.900
Tb 1.304 2.463 1.900
Tb 0.000 0.000 7.121
Tb 2.463 1.304 5.220
Tb -1.304 2.463 5.220
Tb 2.463 1.304 9.021
Tb -1.304 2.463 9.021
In 0.000 0.000 3.560
In 0.000 0.000 10.681
Fe 2.970 0.797 0.000
Fe 2.970 -0.797 7.121
Fe 0.797 4.564 0.000
Fe 0.797 2.970 7.121
```

***

Table of DFT formation energy (eV/atom), in record order: -0.148; -0.113
Table of E_tot (eV/atom), in record order: -5.26; -5.46